The following is a GGA-PBEsol calculation of crystalline OsRu3 at its relaxed geometry, from Alexandria via LeMat-Bulk.

```
24
Lattice="4.6469 0.0000 0.0000 0.0000 5.3709 0.0000 0.0000 0.0000 12.9878" Properties=species:S:1:pos:R:3 pbc="T T T"
Os 2.3337 2.6854 6.4939
Os 3.8573 2.6854 10.8672
Os 3.8573 2.6854 2.1206
Os 2.3132 0.0000 0.0000
Os 0.7896 0.0000 4.3733
Os 0.7896 0.0000 8.6145
Ru 1.5447 1.3426 10.8655
Ru 1.5447 1.3426 2.1223
Ru 0.0039 1.3426 6.4939
Ru 4.6430 1.3428 0.0000
Ru 3.1022 1.3429 4.3716
Ru 3.1022 1.3429 8.6162
Ru 2.3214 2.6854 0.0000
Ru 0.7812 2.6854 4.3769
Ru 0.7812 2.6854 8.6109
Ru 1.5447 4.0283 10.8655
Ru 1.5447 4.0283 2.1223
Ru 0.0039 4.0282 6.4939
Ru 4.6430 4.0280 0.0000
Ru 3.1022 4.0280 4.3716
Ru 3.1022 4.0280 8.6162
Ru 2.3255 0.0000 6.4939
Ru 3.8657 0.0000 10.8708
Ru 3.8657 0.0000 2.1170
```

Output
For the calculated total energy, the calculation gives -254.63 eV/cell. As for the formation energy from the elements: 28 kJ/mol of formula units. The space group is Pmmn (59).

The following is a GGA-PBEsol calculation of crystalline CoReAs2Se at its relaxed geometry, from Alexandria via LeMat-Bulk.

```
5
Lattice="4.7327 0.0000 0.0000 0.0000 4.7327 0.0000 0.0000 0.0000 4.8760" Properties=species:S:1:pos:R:3 pbc="T T T"
Re 0.0000 0.0000 0.0000
As 0.0000 2.3663 0.0000
As 2.3663 0.0000 0.0000
Co 2.3663 2.3663 2.4380
Se 0.0000 0.0000 2.4380
```

Output
For the calculated total energy, the calculation gives -29.23 eV/cell. The space group is P4/mmm (123). As for the formation energy from raw total energies: 1180.1 meV/atom.

The following is a GGA-PBEsol calculation of crystalline Ba3V2S4O3 at its relaxed geometry, from Alexandria via LeMat-Bulk.

```
24
Lattice="-2.0825 1.7256 -5.2192 4.8952 -7.6276 -4.4752 -9.4503 -1.3233 3.3333" Properties=species:S:1:pos:R:3 pbc="T T T"
Ba -7.9271 0.0012 -2.3420
Ba -3.1937 -5.5215 -2.7464
Ba 0.5126 -2.3956 -3.1917
Ba -7.4899 -4.5482 -4.0206
Ba -3.7836 -1.4223 -4.4660
Ba 0.9498 -6.9450 -4.8703
V -5.0596 -3.1006 -0.2498
V -1.1758 0.9743 -2.9468
V -1.3190 -4.3392 -5.4623
V -0.1346 0.1115 -0.3373
S -0.0144 -5.4203 -2.1926
S -5.8375 -2.4560 -2.1994
S -1.0206 -0.2181 -5.0602
S -8.3138 -0.8243 0.9598
S -5.8874 -6.7831 -1.9785
S 1.4058 -6.1769 -7.9985
S -5.1363 -5.9647 -5.3180
S -1.7717 -1.0365 -1.7207
O 0.3494 -4.0343 -5.3457
O -4.3823 -1.7898 0.5948
O -3.8542 -4.2841 -0.4407
O -2.0958 -3.5110 -4.1970
O -1.5677 -6.0053 -5.2324
O -6.2994 -3.7607 0.7081
```

Output
For the calculated total energy, the calculation gives -169.09 eV/cell. The space group is P6_3 (173). As for the formation energy from raw total energies: -2128.6 meV/atom.

The following is a GGA-PBEsol calculation of crystalline KY3Sn at its relaxed geometry, from Alexandria via LeMat-Bulk.

```
5
Lattice="-0.6059 0.7892 -5.7564 -0.4945 -5.7736 -0.7395 -5.7892 0.4106 0.6656" Properties=species:S:1:pos:R:3 pbc="T T T"
Y -0.2472 -2.8868 -0.3698
Y -2.8946 0.2053 0.3328
Y -0.3030 0.3946 -2.8782
K -3.4448 -2.2869 -2.9151
Sn 0.0000 0.0000 0.0000
```

Output
For the calculated total energy, the calculation gives -24.50 eV/cell. As for the formation energy from the elements: 131 kJ/mol of formula units. The space group is Pm-3m (221).

The following is a GGA-PBEsol calculation of crystalline Mn2TcRu at its relaxed geometry, from Alexandria via LeMat-Bulk.

```
4
Lattice="-0.8679 -1.0050 -2.2462 -2.1002 -2.6589 2.0011 -3.2187 3.4555 1.2132" Properties=species:S:1:pos:R:3 pbc="T T T"
Ru -3.2934 2.6626 0.0812
Mn -1.3145 1.0627 0.0324
Mn -1.5318 -0.9400 1.0124
Tc -3.6597 -0.0730 -0.0689
```

Output
For the calculated total energy, the calculation gives -40.81 eV/cell. As for the formation energy from the elements: 15 kJ/mol of formula units. The space group is Amm2 (38).

The following is a GGA-PBEsol calculation of crystalline Ba3C2 at its relaxed geometry, from Alexandria via LeMat-Bulk.

```
5
Lattice="4.1243 0.0000 0.0000 2.0622 3.5718 0.0000 2.0622 1.1906 10.7466" Properties=species:S:1:pos:R:3 pbc="T T T"
C 4.1243 2.3812 8.8822
C 4.1243 2.3812 1.8644
Ba 0.0000 0.0000 0.0000
Ba 6.1865 3.5718 7.5059
Ba 2.0622 1.1906 3.2407
```

Output
For the calculated total energy, the calculation gives -21.12 eV/cell. As for the formation energy from the elements: 446 kJ/mol of formula units. The space group is R-3m (166).

The following is a GGA-PBEsol calculation of crystalline Sc2AlPt at its relaxed geometry, from Alexandria via LeMat-Bulk.

```
4
Lattice="-0.3713 -2.3600 2.3665 3.0840 0.6757 1.1577 -2.4321 4.3397 3.9463" Properties=species:S:1:pos:R:3 pbc="T T T"
Sc -0.5806 1.0360 0.9420
Sc -1.8516 3.3038 3.0043
Al 0.1403 1.3277 3.7352
Pt 1.3563 -0.8422 1.7621
```

Output
For the calculated total energy, the calculation gives -27.68 eV/cell. As for the formation energy from the elements: -329 kJ/mol of formula units. The space group is P4/mmm (123).

The following is a GGA-PBEsol calculation of crystalline BaTlZn at its relaxed geometry, from Alexandria via LeMat-Bulk.

```
3
Lattice="-3.1747 -0.3654 2.6802 3.2330 -0.4304 3.7708 -1.6631 4.5000 -1.3564" Properties=species:S:1:pos:R:3 pbc="T T T"
Zn 1.6010 1.2131 2.0617
Tl -0.0310 2.8566 0.3526
Ba -1.5873 -0.1827 1.3401
```

Output
For the calculated total energy, the calculation gives -7.18 eV/cell. As for the formation energy from the elements: -79 kJ/mol of formula units. The space group is P-6m2 (187).

The following is a GGA-PBEsol calculation of crystalline AuSe2Br at its relaxed geometry, from Alexandria via LeMat-Bulk.

```
4
Lattice="-2.6961 -2.2675 -1.0559 2.3766 -2.8064 -0.0419 -1.6475 -1.5063 7.4414" Properties=species:S:1:pos:R:3 pbc="T T T"
Au -0.8630 -0.7890 3.8980
Br -1.2153 -3.5019 4.2186
Se -0.3320 -0.3035 1.4995
Se -0.3805 -2.7388 0.4483
```

Output
For the calculated total energy, the calculation gives -12.87 eV/cell. The space group is P4mm (99). As for the formation energy from raw total energies: 155.4 meV/atom.

The following is a GGA-PBEsol calculation of crystalline KC2 at its relaxed geometry, from Alexandria via LeMat-Bulk.

```
6
Lattice="-0.4814 2.1555 -1.4215 0.1628 -4.1457 -3.9151 -7.2097 -0.3961 1.8410" Properties=species:S:1:pos:R:3 pbc="T T T"
K -4.3643 -0.3365 0.9677
K -0.5355 -0.6846 -3.2834
C -7.0697 -0.6363 1.4294
C -4.7865 -0.6853 -1.8447
C -2.7770 -2.0430 -2.1576
C -3.9610 -1.8716 -1.4967
```

Output
For the calculated total energy, the calculation gives -30.09 eV/cell. As for the formation energy from the elements: 519 kJ/mol of formula units. The space group is Cm (8).

The following is a GGA-PBEsol calculation of crystalline BaWOF2 at its relaxed geometry, from Alexandria via LeMat-Bulk.

```
5
Lattice="4.8041 0.0000 0.0000 0.0000 4.8041 0.0000 0.0000 0.0000 4.9739" Properties=species:S:1:pos:R:3 pbc="T T T"
O 0.0000 0.0000 2.4870
Ba 0.0000 0.0000 0.0000
W 2.4020 2.4020 2.4870
F 0.0000 2.4020 0.0000
F 2.4020 0.0000 0.0000
```

Output
For the calculated total energy, the calculation gives -26.35 eV/cell. The space group is P4/mmm (123). As for the formation energy from raw total energies: -257.7 meV/atom.

The following is a GGA-PBEsol calculation of crystalline ScTl at its relaxed geometry, from Alexandria via LeMat-Bulk.

```
4
Lattice="-1.7322 -2.8431 -0.7130 2.9235 -1.6157 -0.6595 0.5129 -2.2886 7.8800" Properties=species:S:1:pos:R:3 pbc="T T T"
Sc -0.8022 -1.7068 0.6255
Sc 1.9107 -2.8112 6.5683
Tl -0.5412 -2.8712 4.6347
Tl 1.6498 -1.6468 2.5590
```

Output
For the calculated total energy, the calculation gives -18.89 eV/cell. As for the formation energy from the elements: -20 kJ/mol of formula units. The space group is P4/nmm (129).

The following is a GGA-PBEsol calculation of crystalline KPb2Cl5 at its relaxed geometry, from Alexandria via LeMat-Bulk.

```
32
Lattice="-3.7575 5.4938 -4.1081 -5.3687 -6.1137 -3.2654 -7.7870 1.7621 9.4789" Properties=species:S:1:pos:R:3 pbc="T T T"
Cl -11.0664 -2.9614 1.1854
Cl -10.3728 5.9095 4.9680
Cl -5.8468 4.1036 0.9201
Cl -6.5405 -4.7672 -2.8626
Cl -9.0362 3.4533 3.0712
Cl -11.0857 -2.4312 4.5224
Cl -7.8770 -2.3110 -0.9658
Cl -5.8275 3.5734 -2.4170
Cl -8.0404 0.9932 5.8402
Cl -12.3219 0.3803 1.4906
Cl -8.8728 0.1490 -3.7347
Cl -4.5914 0.7619 0.6148
Cl -8.2324 1.6324 -0.3502
Cl -4.2293 -2.1872 -1.6737
Cl -8.6808 -0.4902 2.4556
Cl -12.6839 3.3294 3.7792
Cl -5.2622 -0.2557 3.8547
Cl -13.9769 -0.0130 4.7041
Cl -11.6510 1.3979 -1.7492
Cl -2.9364 1.1552 -2.5987
K -11.4329 3.4089 0.8430
K -10.8897 0.8309 4.3445
K -5.4803 -2.2667 1.2624
K -6.0235 0.3114 -2.2390
Pb -6.9223 1.7120 2.2012
Pb -15.2454 2.3011 3.1558
Pb -9.9909 -0.5698 -0.0957
Pb -1.6679 -1.1589 -1.0504
Pb -14.3112 0.5313 -0.8882
Pb -8.2717 4.0889 5.7913
Pb -2.6021 0.6110 2.9937
Pb -8.6416 -2.9467 -3.6859
```

Output
For the calculated total energy, the calculation gives -119.93 eV/cell. The space group is P2_1/c (14). As for the formation energy from raw total energies: -1351.5 meV/atom.

The following is a GGA-PBEsol calculation of crystalline Cd2InAg at its relaxed geometry, from Alexandria via LeMat-Bulk.

```
4
Lattice="-2.1366 0.6275 1.8896 2.7756 -1.4836 3.6310 1.9292 6.1819 -2.1283" Properties=species:S:1:pos:R:3 pbc="T T T"
In 0.5259 0.1001 2.8183
Ag 2.5036 2.1132 2.1291
Cd 2.3413 4.7449 3.3285
Cd 0.0852 3.2652 1.2690
```

Output
For the calculated total energy, the calculation gives -8.64 eV/cell. As for the formation energy from the elements: 5 kJ/mol of formula units. The space group is Imm2 (44).

The following is a GGA-PBEsol calculation of crystalline LiMgIr2 at its relaxed geometry, from Alexandria via LeMat-Bulk.

```
8
Lattice="-0.8520 3.9744 2.5585 1.5343 -0.1864 5.3087 4.0663 3.7463 0.0426" Properties=species:S:1:pos:R:3 pbc="T T T"
Mg 2.1613 4.7607 4.5945
Mg 0.0000 0.0000 0.0000
Ir 3.1626 2.2027 5.5206
Ir 1.7991 4.3380 1.7495
Ir 0.5648 1.5791 3.3702
Ir 3.9709 6.9488 5.1792
Li 2.5873 2.7735 3.3153
Li -0.4260 1.9872 1.2792
```

Output
For the calculated total energy, the calculation gives -43.60 eV/cell. As for the formation energy from the elements: 148 kJ/mol of formula units. The space group is I-42d (122).

The following is a GGA-PBEsol calculation of crystalline CdReH2 at its relaxed geometry, from Alexandria via LeMat-Bulk.

```
8
Lattice="4.4763 0.0000 0.0000 0.0000 4.4763 0.0000 -2.2381 -2.2381 4.1593" Properties=species:S:1:pos:R:3 pbc="T T T"
Re 0.0000 2.2381 2.0796
Re 0.0000 0.0000 0.0000
H 0.8612 3.3572 1.0398
H 3.6151 1.1191 1.0398
H -1.1191 -1.3770 3.1194
H 1.1191 1.3770 3.1194
Cd 2.2381 0.0000 2.0796
Cd 2.2381 2.2381 0.0000
```

Output
For the calculated total energy, the calculation gives -37.42 eV/cell. The space group is I-42d (122).

The following is a GGA-PBEsol calculation of crystalline Ho3Co8Sn4 at its relaxed geometry, from Alexandria via LeMat-Bulk.

```
30
Lattice="-5.3326 -4.8400 -1.2892 4.6895 -6.2117 3.9229 -5.5403 4.8665 4.6463" Properties=species:S:1:pos:R:3 pbc="T T T"
Ho -7.1830 -2.1415 5.1957
Ho -4.9174 -4.1316 3.2956
Ho 0.6356 -4.3742 1.9963
Ho -6.8351 -1.5914 1.6914
Ho -1.6301 -2.3841 3.8963
Ho 0.2876 -4.9243 5.5006
Co -1.7526 -5.2710 3.4310
Co -2.4962 0.8417 4.3167
Co -4.6911 -3.3460 0.3097
Co -8.6056 0.0924 3.5926
Co -1.6253 -2.9600 6.9381
Co -5.2923 -4.2964 6.3643
Co 2.2892 -6.3984 3.6553
Co -1.0242 -2.0096 0.8836
Co -4.9071 -6.5121 5.2367
Co -2.0151 -9.0524 2.8113
Co -3.4266 -1.6248 1.5235
Co -4.4630 -5.8099 0.7636
Co -6.3186 0.9155 3.9488
Co -3.8707 -2.3270 5.9965
Co -0.0389 -0.0354 -0.0094
Co -2.7053 -2.4554 -0.6540
Sn -3.7743 -7.1060 2.9422
Sn -4.5179 -0.9932 3.8280
Sn -2.8614 -4.7664 5.5556
Sn -0.1672 -7.1329 3.2961
Sn -1.5331 0.2048 2.1569
Sn -2.4477 -4.1122 1.3884
Sn -4.2273 2.5713 4.4164
Sn -1.9468 -0.4494 6.3241
```

Output
For the calculated total energy, the calculation gives -197.88 eV/cell. As for the formation energy from the elements: -498 kJ/mol of formula units. The space group is P6_3mc (186).

The following is a GGA-PBEsol calculation of crystalline TlCdNi2 at its relaxed geometry, from Alexandria via LeMat-Bulk.

```
4
Lattice="3.1468 0.0000 0.0000 0.0000 3.1468 0.0000 0.0000 0.0000 6.1207" Properties=species:S:1:pos:R:3 pbc="T T T"
Cd 1.5734 1.5734 3.0604
Ni 0.0000 0.0000 4.5921
Ni 0.0000 0.0000 1.5287
Tl 1.5734 1.5734 0.0000
```

Output
For the calculated total energy, the calculation gives -15.51 eV/cell. As for the formation energy from the elements: 61 kJ/mol of formula units. The space group is P4/mmm (123).

The following is a GGA-PBEsol calculation of crystalline TcSb2OsI at its relaxed geometry, from Alexandria via LeMat-Bulk.

```
5
Lattice="-0.9176 4.9034 -0.2253 -4.9023 -0.9040 0.2934 0.2756 0.3066 5.5507" Properties=species:S:1:pos:R:3 pbc="T T T"
I 0.1378 0.1533 2.7754
Sb -2.4512 -0.4520 0.1467
Sb -0.4588 2.4517 -0.1126
Os 0.0000 0.0000 0.0000
Tc -2.7722 2.1530 2.8094
```

Output
For the calculated total energy, the calculation gives -26.89 eV/cell. The space group is P4/mmm (123). As for the formation energy from raw total energies: 1495.7 meV/atom.

The following is a GGA-PBEsol calculation of crystalline LaIrBr2 at its relaxed geometry, from Alexandria via LeMat-Bulk.

```
4
Lattice="-2.0276 -4.4818 -0.9773 2.5989 -3.4163 -2.5938 1.7481 -4.0988 2.3014" Properties=species:S:1:pos:R:3 pbc="T T T"
Ir 1.1597 -5.9984 -0.6349
Br 0.0000 0.0000 0.0000
Br 1.7395 -8.9976 -0.9523
La 0.5798 -2.9992 -0.3174
```

Output
For the calculated total energy, the calculation gives -19.86 eV/cell. The space group is F-43m (216). As for the formation energy from raw total energies: -237.1 meV/atom.

no.,DOS at the Fermi energy (states/eV/f.u.)
1,3.24
2,7.29
3,4.38
4,9.57
5,3.71
6,6.18
7,1.65
8,1.90
9,2.02
10,1.08
11,7.79
12,1.31
13,0.00
14,1.44
15,3.87
16,2.11
17,14.18
18,2.47
19,4.77
20,6.98